# 1
A relaxed Pm3AlHg2Rh3 crystal. Source: Alexandria, functional PBE.

a b c (Å): 3.6664 7.8144 7.8144
angles (deg): 120.00 90.00 90.00
With the nearest neighbours (Å) after each atom.
Element x y z (fractional)
Rh  0.5000  0.0000  0.7725  2 Al 2.55
Rh  0.5000  0.7725  0.0000  2 Al 2.55
Rh  0.5000  0.2275  0.2275  2 Al 2.55
Pm  0.0000  0.0000  0.3762  1 Al 2.94, 4 Hg 3.06, 4 Rh 3.15
Pm  0.0000  0.3762  0.0000  1 Al 2.94, 4 Hg 3.06, 4 Rh 3.15
Pm  0.0000  0.6238  0.6238  1 Al 2.94, 4 Hg 3.06, 4 Rh 3.15
Hg  0.5000  0.3333  0.6667  6 Pm 3.06, 3 Rh 3.10
Hg  0.5000  0.6667  0.3333  6 Pm 3.06, 3 Rh 3.10
Al  0.0000  0.0000  0.0000  6 Rh 2.55

Computed properties:
- space group = P-62m
- total energy (eV/atom) = -5.105
- energy of formation (eV/atom) = -0.59
- calculated density (g/cm3) = 10.04


# 2
A relaxed Dy5ErBi4 crystal. Source: Alexandria, functional PBE.

a b c (Å): 4.3883 7.7220 11.4881
angles (deg): 120.07 101.01 90.00
With the nearest neighbours (Å) after each atom.
Element x y z (fractional)
Dy  0.5000  0.5000  0.0000  6 Bi 3.15-3.21
Dy  0.1951  0.7775  0.3901  4 Bi 3.18-3.31
Dy  0.8120  0.7107  0.6240  3 Bi 3.09-3.18
Dy  0.1880  0.2893  0.3760  3 Bi 3.09-3.18
Dy  0.8049  0.2225  0.6099  4 Bi 3.18-3.31
Bi  0.9391  0.6598  0.8783  4 Dy 3.09-3.18, 2 Er 3.15
Bi  0.3656  0.0562  0.7313  6 Dy 3.18-3.31, 1 Er 3.27
Bi  0.6344  0.9438  0.2687  6 Dy 3.18-3.31, 1 Er 3.27
Bi  0.0609  0.3402  0.1217  4 Dy 3.09-3.18, 2 Er 3.15
Er  0.5000  0.0000  0.0000  6 Bi 3.15-3.27

Computed properties:
- space group = C2/m
- total energy (eV/atom) = -4.858
- energy of formation (eV/atom) = -0.55
- calculated density (g/cm3) = 9.18


# 3
A relaxed Tc2OsC2 crystal. Source: Alexandria, functional PBE.

a b c (Å): 6.1685 6.1685 2.8195
angles (deg): 90.00 90.00 90.00
With the nearest neighbours (Å) after each atom.
Element x y z (fractional)
Tc  0.6465  0.8535  0.5000  2 C 2.13
Tc  0.3535  0.1465  0.5000  2 C 2.13
Tc  0.1465  0.6465  0.5000  2 C 2.13
Tc  0.8535  0.3535  0.5000  2 C 2.13
C  0.8302  0.6698  0.0000  2 Tc 2.13, 2 Os 2.29
C  0.3302  0.8302  0.0000  2 Tc 2.13, 2 Os 2.29
C  0.6698  0.1698  0.0000  2 Tc 2.13, 2 Os 2.29
C  0.1698  0.3302  0.0000  2 Tc 2.13, 2 Os 2.29
Os  0.5000  0.5000  0.0000  4 C 2.29
Os  0.0000  0.0000  0.0000  4 C 2.29

Computed properties:
- space group = P4/mbm
- total energy (eV/atom) = -9.305
- energy of formation (eV/atom) = 0.78
- excess energy over the best structure of this formula in the dataset (meV per atom) = 0
- calculated density (g/cm3) = 12.70